Below is HfIr2O4 after structural relaxation, with properties calculated at the PBE-GGA level.

Space-group type: No. 227
E_tot in eV per atom: -7.60

Lattice parameters (Å, degrees): 6.282 6.282 6.282 60.00 60.00 60.00
Positions (direct):
1 Hf 0.125 0.125 0.125
2 Hf 0.875 0.875 0.875
3 Ir 0.000 0.500 0.500
4 Ir 0.500 0.000 0.500
5 Ir 0.500 0.500 0.000
6 Ir 0.500 0.500 0.500
7 O 0.257 0.257 0.257
8 O 0.257 0.257 0.730
9 O 0.257 0.730 0.257
10 O 0.270 0.743 0.743
11 O 0.730 0.257 0.257
12 O 0.743 0.270 0.743
13 O 0.743 0.743 0.270
14 O 0.743 0.743 0.743